(1)
# InGa2Hg4

Crystalline InGa2Hg4 at its relaxed geometry (PBE, Alexandria via LeMat-Bulk).

a b c (Å): 5.758 5.758 8.005
angles (deg): 68.92 68.92 90.00
Positions (direct):
In 0.000 0.000 0.000
Hg 0.211 0.211 0.578
Hg 0.000 0.500 0.000
Hg 0.789 0.789 0.422
Hg 0.500 0.000 0.000
Ga 0.592 0.592 0.816
Ga 0.408 0.408 0.184

Values from the calculation:
* electronic total energy: -0.0911 Ry/atom
* DOS(E_F): 3.28 states/eV/f.u.
* space group: I4/mmm, No. 139
* relative energy among the computed polymorphs: 134 meV per atom
* energy relative to the elements: 0.19 eV/atom

---

(2)
# Dy4Th3S8

Crystalline Dy4Th3S8 at its relaxed geometry (PBE, Alexandria via LeMat-Bulk).

a b c (Å): 7.916 7.930 7.930
angles (deg): 89.94 119.99 119.99
Positions (direct):
Dy 0.000 0.500 0.000
Dy 0.000 0.000 0.000
Dy 0.500 0.000 0.000
Dy 0.000 0.000 0.500
S 0.000 0.249 0.751
S 0.993 0.245 0.245
S 0.500 0.245 0.755
S 0.000 0.751 0.249
S 0.007 0.755 0.755
S 0.500 0.754 0.754
S 0.500 0.246 0.246
S 0.500 0.755 0.245
Th 0.500 0.000 0.500
Th 0.500 0.500 0.000
Th 0.500 0.500 0.500

Values from the calculation:
* formation energy without anion corrections: -2830 kJ/mol of formula units
* electronic total energy: -0.5048 Ry/atom
* DOS(E_F): 8.63 states/eV/f.u.
* space group: C2/m, No. 12

---

(3)
# KLi2Au

Crystalline KLi2Au at its relaxed geometry (PBE, Alexandria via LeMat-Bulk).

a b c (Å): 5.095 5.095 9.741
angles (deg): 74.84 74.84 90.00
Positions (direct):
Li 0.875 0.034 0.750
Li 0.784 0.125 0.250
Li 0.966 0.625 0.250
Li 0.375 0.216 0.750
K 0.250 0.750 0.500
K 0.500 0.500 0.000
Au 0.750 0.250 0.500
Au 0.000 0.000 0.000

Values from the calculation:
* electronic total energy: -0.1563 Ry/atom
* DOS(E_F): 2.07 states/eV/f.u.
* space group: I-42d, No. 122
* energy relative to the elements: -0.08 eV/atom

---

(4)
# YIn3Cu3

Crystalline YIn3Cu3 at its relaxed geometry (PBE, Alexandria via LeMat-Bulk).

a b c (Å): 7.058 7.058 7.058
angles (deg): 90.00 90.00 90.00
Positions (direct):
In 0.500 0.750 0.000
In 0.250 0.000 0.500
In 0.000 0.500 0.250
In 0.750 0.000 0.500
In 0.500 0.250 0.000
In 0.000 0.500 0.750
Cu 0.500 0.000 0.750
Cu 0.000 0.250 0.500
Cu 0.500 0.000 0.250
Cu 0.250 0.500 0.000
Cu 0.000 0.750 0.500
Cu 0.750 0.500 0.000
Y 0.000 0.000 0.000
Y 0.500 0.500 0.500

Values from the calculation:
* electronic total energy: -0.2562 Ry/atom
* DOS(E_F): 4.37 states/eV/f.u.
* space group: Pm-3n, No. 223
* energy relative to the elements: 0.37 eV/atom

---

(5)
# CoPRh2

Crystalline CoPRh2 at its relaxed geometry (PBE, Alexandria via LeMat-Bulk).

a b c (Å): 4.323 4.323 2.799
angles (deg): 90.00 90.00 103.41
Positions (direct):
Co 0.500 0.000 0.500
P 0.000 0.500 0.500
Rh 0.500 0.500 0.000
Rh 0.000 0.000 0.000

Values from the calculation:
* electronic total energy: -0.5059 Ry/atom
* DOS(E_F): 4.41 states/eV/f.u.
* space group: Cmmm, No. 65
* energy relative to the elements: -0.08 eV/atom

---

(6)
# NdHo6In

Crystalline NdHo6In at its relaxed geometry (PBE, Alexandria via LeMat-Bulk).

a b c (Å): 4.901 4.901 10.017
angles (deg): 90.00 90.00 90.00
Positions (direct):
Ho 0.000 0.500 0.242
Ho 0.500 0.000 0.242
Ho 0.500 0.000 0.758
Ho 0.000 0.500 0.758
Ho 0.500 0.500 0.500
Ho 0.500 0.500 0.000
In 0.000 0.000 0.000
Nd 0.000 0.000 0.500

Values from the calculation:
* electronic total energy: -0.3291 Ry/atom
* DOS(E_F): 8.85 states/eV/f.u.
* space group: P4/mmm, No. 123
* relative energy among the computed polymorphs: 0 meV per atom
* energy relative to the elements: -0.11 eV/atom

---

(7)
# LaGd2Ho

Crystalline LaGd2Ho at its relaxed geometry (PBE, Alexandria via LeMat-Bulk).

a b c (Å): 3.616 3.616 10.185
angles (deg): 90.00 90.00 90.00
Positions (direct):
Gd 0.000 0.000 0.242
Gd 0.000 0.000 0.758
Ho 0.500 0.500 0.000
La 0.500 0.500 0.500

Values from the calculation:
* electronic total energy: -0.6898 Ry/atom
* DOS(E_F): 7.53 states/eV/f.u.
* space group: P4/mmm, No. 123
* relative energy among the computed polymorphs: 5 meV per atom
* energy relative to the elements: 0.03 eV/atom

---

(8)
# La8CoNiRu2

Crystalline La8CoNiRu2 at its relaxed geometry (PBE, Alexandria via LeMat-Bulk).

a b c (Å): 6.725 6.671 8.467
angles (deg): 90.00 90.00 88.68
Positions (direct):
La 0.831 0.224 0.244
La 0.831 0.224 0.756
La 0.169 0.776 0.244
La 0.169 0.776 0.756
La 0.673 0.716 0.500
La 0.323 0.278 0.000
La 0.677 0.722 0.000
La 0.327 0.284 0.500
Ru 0.500 0.500 0.250
Ru 0.500 0.500 0.750
Co 0.000 0.000 0.000
Ni 0.000 0.000 0.500

Values from the calculation:
* electronic total energy: -0.4497 Ry/atom
* DOS(E_F): 8.74 states/eV/f.u.
* space group: P2/m, No. 10
* energy relative to the elements: -0.21 eV/atom

---

(9)
# Li4CeZn

Crystalline Li4CeZn at its relaxed geometry (PBE, Alexandria via LeMat-Bulk).

a b c (Å): 5.436 5.436 5.436
angles (deg): 60.00 60.00 60.00
Positions (direct):
Li 0.628 0.628 0.628
Li 0.628 0.117 0.628
Li 0.628 0.628 0.117
Li 0.117 0.628 0.628
Ce 0.250 0.250 0.250
Zn 0.000 0.000 0.000

Values from the calculation:
* electronic total energy: -0.1765 Ry/atom
* DOS(E_F): 9.00 states/eV/f.u.
* space group: F-43m, No. 216
* energy relative to the elements: 0.08 eV/atom

---

(10)
# V2MoAsN

Crystalline V2MoAsN at its relaxed geometry (PBE, Alexandria via LeMat-Bulk).

a b c (Å): 4.462 4.621 4.462
angles (deg): 90.00 90.00 90.00
Positions (direct):
V 0.000 0.000 0.500
V 0.500 0.000 0.000
As 0.000 0.000 0.000
N 0.500 0.500 0.500
Mo 0.000 0.500 0.000

Values from the calculation:
* formation energy without anion corrections: 975 kJ/mol of formula units
* electronic total energy: -0.4694 Ry/atom
* DOS(E_F): 10.77 states/eV/f.u.
* space group: P4/mmm, No. 123

---

(11)
# CaPu2Zn2Ge2

Crystalline CaPu2Zn2Ge2 at its relaxed geometry (PBE, Alexandria via LeMat-Bulk).

a b c (Å): 4.085 4.085 9.609
angles (deg): 77.73 77.73 60.00
Positions (direct):
Zn 0.580 0.580 0.259
Zn 0.420 0.420 0.741
Pu 0.847 0.847 0.458
Pu 0.153 0.153 0.542
Ge 0.262 0.262 0.215
Ge 0.738 0.738 0.785
Ca 0.000 0.000 0.000

Values from the calculation:
* electronic total energy: -0.4567 Ry/atom
* DOS(E_F): 7.24 states/eV/f.u.
* space group: R-3m, No. 166
* energy relative to the elements: -0.15 eV/atom

---

(12)
# UFe4Cu

Crystalline UFe4Cu at its relaxed geometry (PBE, Alexandria via LeMat-Bulk).

a b c (Å): 4.890 4.890 4.890
angles (deg): 60.00 60.00 60.00
Positions (direct):
Cu 0.000 0.000 0.000
U 0.250 0.250 0.250
Fe 0.625 0.625 0.625
Fe 0.625 0.625 0.124
Fe 0.124 0.625 0.625
Fe 0.625 0.124 0.625

Values from the calculation:
* electronic total energy: -0.5954 Ry/atom
* DOS(E_F): 9.03 states/eV/f.u.
* space group: F-43m, No. 216
* energy relative to the elements: 0.10 eV/atom

---

(13)
# YNb2AlS

Crystalline YNb2AlS at its relaxed geometry (PBE, Alexandria via LeMat-Bulk).

a b c (Å): 4.639 4.917 4.639
angles (deg): 90.00 90.00 90.00
Positions (direct):
Nb 0.500 0.000 0.000
Nb 0.000 0.000 0.500
Al 0.000 0.500 0.000
S 0.000 0.000 0.000
Y 0.500 0.500 0.500

Values from the calculation:
* formation energy without anion corrections: -12 kJ/mol of formula units
* electronic total energy: -0.5086 Ry/atom
* DOS(E_F): 5.87 states/eV/f.u.
* space group: P4/mmm, No. 123

---

(14)
# Y2ScW

Crystalline Y2ScW at its relaxed geometry (PBE, Alexandria via LeMat-Bulk).

a b c (Å): 7.211 5.648 3.197
angles (deg): 89.97 63.74 120.87
Positions (direct):
Y 0.500 0.000 0.500
Y 0.000 0.000 0.000
W 0.500 0.500 0.000
Sc 0.000 0.500 0.500

Values from the calculation:
* electronic total energy: -0.5564 Ry/atom
* DOS(E_F): 4.67 states/eV/f.u.
* space group: Cmmm, No. 65
* relative energy among the computed polymorphs: 181 meV per atom
* energy relative to the elements: 0.48 eV/atom

---

(15)
# TaRe2Se

Crystalline TaRe2Se at its relaxed geometry (PBE, Alexandria via LeMat-Bulk).

a b c (Å): 5.400 5.400 4.480
angles (deg): 65.42 65.42 32.28
Positions (direct):
Ta 0.250 0.250 0.250
Re 0.474 0.474 0.526
Re 0.026 0.026 0.974
Se 0.750 0.750 0.750

Values from the calculation:
* formation energy without anion corrections: 79 kJ/mol of formula units
* electronic total energy: -0.7242 Ry/atom
* DOS(E_F): 3.90 states/eV/f.u.
* space group: C2/m, No. 12

---

(16)
# Li2AgHg4Pb

Crystalline Li2AgHg4Pb at its relaxed geometry (PBE, Alexandria via LeMat-Bulk).

a b c (Å): 4.976 4.976 8.738
angles (deg): 73.46 73.46 60.00
Positions (direct):
Hg 0.132 0.132 0.605
Hg 0.617 0.617 0.150
Hg 0.383 0.383 0.850
Hg 0.868 0.868 0.395
Li 0.751 0.751 0.747
Li 0.249 0.249 0.253
Pb 0.000 0.000 0.000
Ag 0.500 0.500 0.500

Values from the calculation:
* electronic total energy: -0.1181 Ry/atom
* DOS(E_F): 2.10 states/eV/f.u.
* space group: R-3m, No. 166
* energy relative to the elements: -0.16 eV/atom

---

(17)
# Y3Ho8Er2

Crystalline Y3Ho8Er2 at its relaxed geometry (PBE, Alexandria via LeMat-Bulk).

a b c (Å): 5.585 7.587 10.745
angles (deg): 110.69 90.01 90.00
Positions (direct):
Er 0.500 0.758 0.517
Er 0.500 0.242 0.483
Ho 0.500 0.179 0.781
Ho 0.500 0.821 0.219
Ho 0.000 0.668 0.337
Ho 0.500 0.398 0.219
Ho 0.500 0.602 0.781
Ho 0.000 0.866 0.732
Ho 0.000 0.134 0.268
Ho 0.000 0.332 0.663
Y 0.000 0.284 0.000
Y 0.500 0.000 0.000
Y 0.000 0.716 0.000

Values from the calculation:
* electronic total energy: -0.3506 Ry/atom
* DOS(E_F): 21.68 states/eV/f.u.
* space group: Cmmm, No. 65
* energy relative to the elements: 0.24 eV/atom

---

(18)
# Sn3Pd3Pb

Crystalline Sn3Pd3Pb at its relaxed geometry (PBE, Alexandria via LeMat-Bulk).

a b c (Å): 7.060 7.060 7.060
angles (deg): 73.54 73.54 73.54
Positions (direct):
Pd 0.288 0.972 0.619
Pd 0.381 0.712 0.028
Pd 0.712 0.028 0.381
Pd 0.619 0.288 0.972
Pd 0.972 0.619 0.288
Pd 0.028 0.381 0.712
Sn 0.669 0.847 0.107
Sn 0.847 0.107 0.669
Sn 0.107 0.669 0.847
Sn 0.331 0.153 0.893
Sn 0.893 0.331 0.153
Sn 0.153 0.893 0.331
Pb 0.333 0.333 0.333
Pb 0.667 0.667 0.667

Values from the calculation:
* electronic total energy: -0.3537 Ry/atom
* DOS(E_F): 2.02 states/eV/f.u.
* space group: R-3, No. 148
* energy relative to the elements: -0.34 eV/atom

---

(19)
# Nd5Bi4Pb

Crystalline Nd5Bi4Pb at its relaxed geometry (PBE, Alexandria via LeMat-Bulk).

a b c (Å): 6.509 7.970 7.970
angles (deg): 80.40 65.90 65.90
Positions (direct):
Nd 0.501 0.000 0.000
Nd 0.301 0.801 0.599
Nd 0.102 0.599 0.199
Nd 0.900 0.401 0.801
Nd 0.701 0.199 0.401
Bi 0.801 0.799 0.600
Bi 0.200 0.201 0.400
Bi 0.402 0.400 0.799
Bi 0.600 0.600 0.201
Pb 0.001 0.000 0.000

Values from the calculation:
* electronic total energy: -0.3785 Ry/atom
* DOS(E_F): 4.22 states/eV/f.u.
* space group: I4/m, No. 87
* energy relative to the elements: -0.84 eV/atom

---

(20)
# Ca2MgMn

Crystalline Ca2MgMn at its relaxed geometry (PBE, Alexandria via LeMat-Bulk).

a b c (Å): 4.996 3.813 6.482
angles (deg): 72.79 90.00 90.00
Positions (direct):
Ca 0.000 0.969 0.937
Ca 0.500 0.283 0.309
Mn 0.500 0.563 0.750
Mg 0.000 0.685 0.505

Values from the calculation:
* electronic total energy: -0.2521 Ry/atom
* DOS(E_F): 4.79 states/eV/f.u.
* space group: Pm, No. 6
* energy relative to the elements: 0.26 eV/atom

---

(21)
# KNpCdCl6

Crystalline KNpCdCl6 at its relaxed geometry (PBE, Alexandria via LeMat-Bulk).

a b c (Å): 7.089 7.089 13.621
angles (deg): 90.00 90.00 120.00
Positions (direct):
Cl 0.372 0.365 0.361
Cl 0.635 0.007 0.361
Cl 0.993 0.365 0.139
Cl 0.635 0.628 0.139
Cl 0.372 0.007 0.139
Cl 0.365 0.372 0.861
Cl 0.007 0.372 0.639
Cl 0.993 0.628 0.361
Cl 0.365 0.993 0.639
Cl 0.628 0.635 0.639
Cl 0.628 0.993 0.861
Cl 0.007 0.635 0.861
Cd 0.333 0.667 0.750
Cd 0.667 0.333 0.250
K 0.000 0.000 0.000
K 0.000 0.000 0.500
Np 0.667 0.333 0.750
Np 0.333 0.667 0.250

Values from the calculation:
* formation energy without anion corrections: -1366 kJ/mol of formula units
* electronic total energy: -0.3282 Ry/atom
* DOS(E_F): 7.94 states/eV/f.u.
* space group: P-31c, No. 163

---

(22)
# Pt2IN

Crystalline Pt2IN at its relaxed geometry (PBE, Alexandria via LeMat-Bulk).

a b c (Å): 4.506 4.506 4.506
angles (deg): 60.00 60.00 60.00
Positions (direct):
Pt 0.750 0.750 0.750
Pt 0.250 0.250 0.250
N 0.000 0.000 0.000
I 0.500 0.500 0.500

Values from the calculation:
* formation energy without anion corrections: 577 kJ/mol of formula units
* electronic total energy: -0.2935 Ry/atom
* DOS(E_F): 1.36 states/eV/f.u.
* space group: Fm-3m, No. 225
* relative energy among the computed polymorphs: 888 meV per atom

---

(23)
# BeZnTe

Crystalline BeZnTe at its relaxed geometry (PBE, Alexandria via LeMat-Bulk).

a b c (Å): 4.389 4.389 4.389
angles (deg): 60.00 60.00 60.00
Positions (direct):
Zn 0.500 0.500 0.500
Te 0.000 0.000 0.000
Be 0.750 0.750 0.750

Values from the calculation:
* formation energy without anion corrections: 85 kJ/mol of formula units
* electronic total energy: -0.1778 Ry/atom
* space group: F-43m, No. 216
* relative energy among the computed polymorphs: 241 meV per atom

---

(24)
# CaPrGdIn

Crystalline CaPrGdIn at its relaxed geometry (PBE, Alexandria via LeMat-Bulk).

a b c (Å): 5.598 5.598 5.598
angles (deg): 60.00 60.00 60.00
Positions (direct):
Ca 0.250 0.250 0.250
In 0.750 0.750 0.750
Gd 0.500 0.500 0.500
Pr 0.000 0.000 0.000

Values from the calculation:
* electronic total energy: -0.4468 Ry/atom
* DOS(E_F): 4.67 states/eV/f.u.
* space group: F-43m, No. 216
* energy relative to the elements: -0.18 eV/atom

---

(25)
# Ga7Sn2

Crystalline Ga7Sn2 at its relaxed geometry (PBE, Alexandria via LeMat-Bulk).

a b c (Å): 7.439 7.439 4.101
angles (deg): 90.00 90.00 120.00
Positions (direct):
Ga 0.327 0.000 0.627
Ga 0.327 0.327 0.373
Ga 0.000 0.000 0.000
Ga 0.673 0.000 0.373
Ga 0.673 0.673 0.627
Ga 0.000 0.673 0.373
Ga 0.000 0.327 0.627
Sn 0.667 0.333 0.000
Sn 0.333 0.667 0.000

Values from the calculation:
* electronic total energy: -0.2333 Ry/atom
* DOS(E_F): 2.49 states/eV/f.u.
* space group: P-31m, No. 162
* relative energy among the computed polymorphs: 0 meV per atom
* energy relative to the elements: 0.07 eV/atom